[1]
VASP calculation (PBE-GGA) on an optimized crystal structure of TbPmZn.

Lattice parameters (Å, degrees): 5.0148 5.0148 5.0148 60.00 60.00 60.00
Fractional coordinates of all 3 atoms:
Zn: 0.2500 0.2500 0.2500
Pm: 0.5000 0.5000 0.5000
Tb: 0.0000 0.0000 0.0000

Values from the calculation:
N(E_F)	5.034	states/eV/f.u.
space-group type	No. 216
formation energy from the elements	0.0306	eV/atom
energy above the most stable polymorph in this dataset	0.71	eV per formula unit

[2]
VASP calculation (PBE-GGA) on an optimized crystal structure of TbPm5Zn4.

Lattice parameters (Å, degrees): 3.6543 3.6543 19.6875 90.00 90.00 90.00
Fractional coordinates of all 10 atoms:
Zn: 0.0000 0.0000 0.5935
Pm: 0.5000 0.5000 0.1291
Zn: 0.0000 0.0000 0.4065
Zn: 0.0000 0.0000 0.2208
Pm: 0.5000 0.5000 0.5000
Pm: 0.5000 0.5000 0.3146
Pm: 0.5000 0.5000 0.8709
Zn: 0.0000 0.0000 0.7792
Pm: 0.5000 0.5000 0.6854
Tb: 0.0000 0.0000 0.0000

Values from the calculation:
N(E_F)	11.373	states/eV/f.u.
space-group type	No. 123
formation energy from the elements	-0.2481	eV/atom

[3]
VASP calculation (PBE-GGA) on an optimized crystal structure of TbPm5Zn6.

Lattice parameters (Å, degrees): 5.1451 7.3014 8.1626 90.00 71.44 90.00
Fractional coordinates of all 12 atoms:
Zn: 0.1646 0.2469 0.6712
Tb: 0.0000 0.0000 0.0000
Pm: 0.6660 0.0000 0.6681
Zn: 0.5000 0.7543 0.0000
Pm: 0.0000 0.5000 0.0000
Zn: 0.5000 0.2457 0.0000
Pm: 0.6679 0.5000 0.6645
Zn: 0.8354 0.7531 0.3288
Pm: 0.3321 0.5000 0.3355
Zn: 0.1646 0.7531 0.6712
Zn: 0.8354 0.2469 0.3288
Pm: 0.3340 0.0000 0.3319

Values from the calculation:
N(E_F)	13.524	states/eV/f.u.
space-group type	No. 10
formation energy from the elements	-0.3184	eV/atom